VASP calculation (GGA-PBE) on a geometry-optimized Sr3Sm3AgS8 structure.

```
15
Lattice="4.090 2.361 6.827 -4.090 2.361 6.827 0.000 -4.723 6.827" Properties=species:S:1:pos:R:3 pbc="T T T"
Sr -2.045 -1.181 6.827
Sr -2.045 1.181 13.655
Sr 0.000 2.361 6.827
Sm -4.090 0.000 10.241
Sm -2.045 1.181 3.414
Sm 2.045 1.181 3.414
Ag 0.000 0.000 10.241
S -2.094 -1.209 11.812
S 0.000 0.000 5.015
S 0.000 -2.418 8.670
S -2.094 1.209 8.670
S 2.094 -1.209 11.812
S 0.000 2.418 11.812
S 0.000 0.000 15.467
S 2.094 1.209 8.670
```

Properties
Energy relative to the elements, uncorrected: -1801 meV/atom
Total energy: -5.472 eV per atom
Symmetry: No. 166

=====

VASP calculation (GGA-PBE) on a geometry-optimized La2CuPt2 structure.

```
10
Lattice="5.593 -2.135 0.000 5.593 2.135 0.000 -5.465 0.000 9.811" Properties=species:S:1:pos:R:3 pbc="T T T"
La -1.206 0.000 3.906
La -1.177 0.000 8.391
La 6.897 0.000 1.420
La 6.926 0.000 5.905
Cu 3.506 0.000 1.780
Cu 2.213 0.000 8.032
Pt -4.364 0.000 8.984
Pt 1.817 0.000 3.784
Pt 3.903 0.000 6.027
Pt 10.084 0.000 0.828
```

Properties
Total energy: -6.111 eV per atom
Symmetry: No. 12

=====

VASP calculation (GGA-PBE) on a geometry-optimized BaNaSmF6 structure.

```
18
Lattice="6.053 0.000 0.000 -3.027 5.242 0.000 0.000 0.000 11.103" Properties=species:S:1:pos:R:3 pbc="T T T"
Ba 0.000 0.000 0.000
Ba 0.000 0.000 5.552
Na 0.000 3.495 2.776
Na 3.027 1.747 8.327
Sm 0.000 3.495 8.327
Sm 3.027 1.747 2.776
F -1.016 1.884 7.110
F -1.903 3.420 9.544
F 1.016 1.884 9.544
F -0.886 5.180 7.110
F 2.140 0.062 1.559
F 1.124 1.822 3.993
F 1.903 3.420 7.110
F 0.886 5.180 9.544
F 3.913 0.062 3.993
F 2.010 3.358 1.559
F 4.929 1.822 1.559
F 4.043 3.358 3.993
```

Properties
Energy relative to the elements, uncorrected: -3685 meV/atom
Total energy: -5.817 eV per atom
Symmetry: No. 163